No. 1
15
Lattice="7.008 0.000 2.302 3.126 6.272 2.302 0.160 0.099 11.330" Properties=species:S:1:pos:R:3 comment="Pm6SiBr8 (PBE, relaxed)" rho_g_cm3=5.16 raw_formation_energy_ev_per_atom=-1.48 m_tot_mub_per_fu=0.00 pbc="T T T"
Br 7.038 1.505 6.261
Br 6.880 2.894 10.462
Br 6.691 5.628 6.986
Br 3.415 3.478 5.472
Br 6.917 4.281 14.399
Br 3.604 0.744 8.948
Br 3.378 2.091 1.535
Br 3.256 4.867 9.673
Pm 1.603 2.291 10.477
Pm 5.576 0.413 11.401
Pm 4.956 4.807 12.090
Pm 4.719 5.959 4.533
Pm 5.339 1.565 3.844
Pm 8.691 4.080 5.457
Si 0.000 0.000 0.000

---

No. 2
6
Lattice="-3.094 1.976 2.090 -1.437 -3.406 1.093 8.009 -0.725 8.270" Properties=species:S:1:pos:R:3 comment="PmSiBr (PBE, relaxed)" e_above_lowest_polymorph_mev_per_atom=122 rho_g_cm3=4.55 raw_formation_energy_ev_per_atom=-1.14 m_tot_mub_per_fu=0.00 pbc="T T T"
Si 4.984 -2.307 9.558
Si -1.506 0.153 1.896
Br 1.893 -0.760 3.521
Br 1.585 -1.395 7.933
Pm 3.531 0.358 9.157
Pm -0.053 -2.513 2.297

---

No. 3
5
Lattice="4.132 0.000 0.963 1.954 3.641 0.963 -0.395 -0.237 11.044" Properties=species:S:1:pos:R:3 comment="Pm2SiBr2 (PBE, relaxed)" e_above_lowest_polymorph_mev_per_atom=0 rho_g_cm3=4.72 raw_formation_energy_ev_per_atom=-1.38 m_tot_mub_per_fu=0.00 pbc="T T T"
Pm 3.685 2.204 2.881
Pm 2.005 1.200 10.088
Br 1.254 0.750 3.964
Br 4.436 2.654 9.005
Si 0.000 0.000 0.000

---

- Which formula does entry 2 have?
  PmSiBr

---

What did the third record say?
5
Lattice="4.132 0.000 0.963 1.954 3.641 0.963 -0.395 -0.237 11.044" Properties=species:S:1:pos:R:3 comment="Pm2SiBr2 (PBE, relaxed)" e_above_lowest_polymorph_mev_per_atom=0 rho_g_cm3=4.72 raw_formation_energy_ev_per_atom=-1.38 m_tot_mub_per_fu=0.00 pbc="T T T"
Pm 3.685 2.204 2.881
Pm 2.005 1.200 10.088
Br 1.254 0.750 3.964
Br 4.436 2.654 9.005
Si 0.000 0.000 0.000